This record from Alexandria describes a geometry-optimized KAuBr2F structure. The functional is PBE-GGA.

The structure in CIF format:
```
data_KAuBr2F
_chemical_formula_sum 'K1 Au1 Br2 F1'
_cell_length_a 5.416
_cell_length_b 4.488
_cell_length_c 5.416
_cell_angle_alpha 90.00
_cell_angle_beta 90.00
_cell_angle_gamma 90.00
_space_group_name_H-M_alt 'P 1'
_space_group_IT_number 1
loop_
_space_group_symop_operation_xyz
'x,y,z'
loop_
_atom_site_label
_atom_site_type_symbol
_atom_site_fract_x
_atom_site_fract_y
_atom_site_fract_z
_atom_site_occupancy
Br1 Br 0.500 0.000 0.000 1
Br2 Br 0.000 0.000 0.500 1
F1 F 0.000 0.500 0.000 1
Au1 Au 0.000 0.000 0.000 1
K1 K 0.500 0.500 0.500 1
```

- Uncorrected formation energy: -1.039 eV per atom
- E: -2.9571 eV per atom
- Total magnetization: 0.000 μB per cell
- Calculated density: 5.2 g/cm³
- Symmetry: P4/mmm
- Crystal system: tetragonal